# Ni2Pt

Ni2Pt after structural relaxation (GGA-PBE, Alexandria via LeMat-Bulk).

POSCAR file:
```
Ni2Pt
1.0
-1.324 1.324 11.440
1.324 -1.324 11.440
1.324 1.324 -11.440
Ni Pt
4 2
direct
0.581 0.581 0.000
0.419 0.419 0.000
0.331 0.831 0.500
0.169 0.669 0.500
0.750 0.250 0.500
0.000 0.000 0.000
```

Results
E ... -5.743 eV per atom
E_form ... 125 meV/atom
Total magnetic moment ... 1.82 μB per formula unit

=====

# ZnCdRh2

ZnCdRh2 after structural relaxation (GGA-PBE, Alexandria via LeMat-Bulk).

POSCAR file:
```
ZnCdRh2
1.0
-2.639 -6.182 2.294
-1.594 -1.800 -6.683
0.301 -5.123 -2.466
Zn Rh Cd
2 4 2
direct
0.500 0.500 0.000
0.250 0.750 0.500
0.593 0.125 0.250
0.157 0.625 0.250
0.375 0.407 0.750
0.875 0.843 0.750
0.000 0.000 0.000
0.750 0.250 0.500
```

Results
E ... -4.009 eV per atom
E_form ... 214 meV/atom
Total magnetic moment ... 0.32 μB per formula unit

=====

# La4Ru

La4Ru after structural relaxation (GGA-PBE, Alexandria via LeMat-Bulk).

POSCAR file:
```
La4Ru
1.0
-6.353 -3.297 3.402
-7.274 2.428 -2.000
-4.741 -4.745 -4.221
La Ru
8 2
direct
0.865 0.865 0.865
0.865 0.406 0.865
0.865 0.865 0.406
0.385 0.844 0.385
0.385 0.385 0.385
0.406 0.865 0.865
0.385 0.385 0.844
0.844 0.385 0.385
0.250 0.250 0.250
0.000 0.000 0.000
```

Results
E ... -5.682 eV per atom
Polymorph energy (0 for the lowest one) ... 329 meV per atom
E_form ... 115 meV/atom
Total magnetic moment ... 0.00 μB per formula unit

=====

> Among the records above, which one has the highest E?

ZnCdRh2